Entry from Alexandria: a relaxed structure of Pr3BiPd (PBE).

a = 8.6022 Å, b = 8.6022 Å, c = 5.3125 Å
α = 90.00°, β = 90.00°, γ = 124.39°
With the nearest neighbours (Å) after each atom.
Fractional positions:
Pr 0.0000 0.5000 0.5000  2 Pd 3.11
Pr 0.1306 0.8694 0.0000  2 Pd 2.71
Pr 0.3139 0.3139 0.5000  2 Pd 2.90, 1 Pr 2.99
Pr 0.5000 0.0000 0.5000  2 Pd 3.11
Pr 0.6861 0.6861 0.5000  2 Pd 2.90, 1 Pr 2.99
Pr 0.8694 0.1306 0.0000  2 Pd 2.71
Bi 0.3579 0.6421 0.0000  9 Pr 3.46-3.74
Bi 0.6421 0.3579 0.0000  9 Pr 3.46-3.74
Pd 0.0938 0.9062 0.5000  4 Pr 2.71-2.90, 1 Pd 2.86
Pd 0.9062 0.0938 0.5000  4 Pr 2.71-2.90, 1 Pd 2.86

## Properties
Calculated volume: 324.39 Å³/cell
Energy relative to the elements: -2.4 eV/f.u.
D(E_F): 9.98 states/eV/cell